No. 1
VASP calculation (PBE) on a relaxed Ac2Mg3CdSn4 crystal.

a b c (Å): 4.948 4.948 11.553
angles (deg): 90.00 90.00 90.00
Positions (direct):
Sn: 0.500 0.500 0.000
Ac: 0.000 0.500 0.764
Mg: 0.000 0.500 0.122
Mg: 0.500 0.000 0.878
Sn: 0.500 0.000 0.640
Mg: 0.000 0.000 0.500
Sn: 0.000 0.500 0.360
Ac: 0.500 0.000 0.236
Cd: 0.500 0.500 0.500
Sn: 0.000 0.000 0.000

For the volume, the calculation gives 282.82 Å³/f.u. The mass density is 6542 kg/m³. The formation energy comes out at -0.402 eV per atom.

No. 2
VASP calculation (PBE) on a relaxed TlPOs2 crystal.

a b c (Å): 7.526 7.526 7.526
angles (deg): 156.89 156.32 33.32
Positions (direct):
Os: 0.167 0.667 0.500
Tl: 0.806 0.306 0.500
Os: 0.978 0.978 0.000
P: 0.549 0.549 0.000

For the volume, the calculation gives 67.13 Å³/f.u. The mass density is 15234 kg/m³. The formation energy comes out at 0.393 eV per atom.

No. 3
VASP calculation (PBE) on a relaxed TbHoSiAu crystal.

a b c (Å): 5.046 5.046 5.046
angles (deg): 60.00 60.00 60.00
Each line ends with the local moment (μB).
Positions (direct):
Tb: 0.750 0.750 0.750  0.12
Au: 0.500 0.500 0.500  0.02
Si: 0.000 0.000 0.000  -0.01
Ho: 0.250 0.250 0.250  0.12

The formation energy (no corrections) comes out at -0.660 eV per atom. For the volume, the calculation gives 90.85 Å³/f.u. The mass density is 10032 kg/m³.

No. 4
VASP calculation (PBE) on a relaxed Mg2AsSe crystal.

a b c (Å): 3.367 3.367 7.094
angles (deg): 90.00 90.00 90.00
Positions (direct):
Mg: 0.000 0.000 0.489
Mg: 0.000 0.000 0.011
As: 0.500 0.500 0.750
Se: 0.500 0.500 0.250

The formation energy (no corrections) comes out at -0.437 eV per atom. For the volume, the calculation gives 80.44 Å³/f.u. The mass density is 4180 kg/m³.

No. 5
VASP calculation (PBE) on a relaxed LiZrCd2 crystal.

a b c (Å): 3.282 3.036 8.487
angles (deg): 69.04 90.00 90.00
Positions (direct):
Cd: 0.000 0.528 0.472
Cd: 0.000 0.972 0.028
Li: 0.500 0.250 0.250
Zr: 0.500 0.750 0.750

For the volume, the calculation gives 78.95 Å³/f.u. The mass density is 6793 kg/m³. The formation energy comes out at -0.171 eV per atom.

No. 6
VASP calculation (PBE) on a relaxed Mn2HgPd crystal.

a b c (Å): 3.502 4.370 4.370
angles (deg): 90.00 90.00 90.00
Each line ends with the local moment (μB).
Positions (direct):
Mn: 0.000 0.500 0.000  3.88
Pd: 0.500 0.000 0.000  0.24
Hg: 0.500 0.500 0.500  -0.04
Mn: 0.000 0.000 0.500  3.88

For the volume, the calculation gives 66.88 Å³/f.u. The mass density is 10351 kg/m³. The formation energy comes out at 0.092 eV per atom.

No. 7
VASP calculation (PBE) on a relaxed VCuGe2 crystal.

a b c (Å): 4.428 4.428 4.428
angles (deg): 60.00 60.00 60.00
Each line ends with the local moment (μB).
Positions (direct):
Ge: 0.250 0.250 0.250  0.01
V: 0.000 0.000 0.000  2.15
Ge: 0.750 0.750 0.750  0.01
Cu: 0.500 0.500 0.500  0.05

For the volume, the calculation gives 61.39 Å³/f.u. The mass density is 7026 kg/m³. The formation energy comes out at 0.238 eV per atom.

No. 8
VASP calculation (PBE) on a relaxed ScCdCu2 crystal.

a b c (Å): 4.127 3.282 5.355
angles (deg): 72.22 90.00 90.00
Positions (direct):
Cu: 0.500 0.057 0.262
Cu: 0.000 0.189 0.995
Sc: 0.000 0.469 0.437
Cd: 0.500 0.784 0.806

For the volume, the calculation gives 69.08 Å³/f.u. The mass density is 6838 kg/m³. The formation energy comes out at -0.129 eV per atom.

Repeat the third record exactly.
VASP calculation (PBE) on a relaxed TbHoSiAu crystal.

a b c (Å): 5.046 5.046 5.046
angles (deg): 60.00 60.00 60.00
Each line ends with the local moment (μB).
Positions (direct):
Tb: 0.750 0.750 0.750  0.12
Au: 0.500 0.500 0.500  0.02
Si: 0.000 0.000 0.000  -0.01
Ho: 0.250 0.250 0.250  0.12

The formation energy (no corrections) comes out at -0.660 eV per atom. For the volume, the calculation gives 90.85 Å³/f.u. The mass density is 10032 kg/m³.

Please write out number 8 again, unchanged.
VASP calculation (PBE) on a relaxed ScCdCu2 crystal.

a b c (Å): 4.127 3.282 5.355
angles (deg): 72.22 90.00 90.00
Positions (direct):
Cu: 0.500 0.057 0.262
Cu: 0.000 0.189 0.995
Sc: 0.000 0.469 0.437
Cd: 0.500 0.784 0.806

For the volume, the calculation gives 69.08 Å³/f.u. The mass density is 6838 kg/m³. The formation energy comes out at -0.129 eV per atom.

> What is the formula in the first record?

Ac2Mg3CdSn4

> Which formula does entry 7 have?

VCuGe2